An optimized crystal structure of Ca2CrO8, computed with PBE with a Hubbard U.

Cell lengths 8.471, 7.736, 4.876 Å; angles 90.00, 102.09, 90.00 degrees
Space group Cm (No. 8)
Symmetry-distinct sites (fractional):
Ca 0.000 0.246 0.000 [4 per cell]
Cr 0.140 0.500 0.612 [2 per cell]
O 0.003 0.000 0.618 [2 per cell]
O 0.115 0.500 0.263 [2 per cell]
O 0.231 0.323 0.755 [4 per cell]
O 0.261 0.087 0.133 [4 per cell]
O 0.460 0.000 0.700 [2 per cell]
O 0.476 0.500 0.337 [2 per cell]

- crystal system = monoclinic
- calculated total energy (eV/cell) = -135.31
- total moment (μB/atom) = 0.18